<a>
# TlCo2Os (GGA-PBE, optimized geometry)
data_TlCo2Os
_space_group_name_H-M_alt 'P 1'
_space_group_IT_number 1
_cell_length_a 3.5312
_cell_length_b 2.7841
_cell_length_c 6.4981
_cell_angle_alpha 64.67
_cell_angle_beta 90.00
_cell_angle_gamma 90.00
loop_
_space_group_symop_operation_xyz
'x,y,z'
loop_
_atom_site_label
_atom_site_type_symbol
_atom_site_fract_x
_atom_site_fract_y
_atom_site_fract_z
_atom_site_occupancy
Os1 Os 0.5000 0.2500 0.2500 1
Co1 Co 0.0000 0.5448 0.4558 1
Co2 Co 0.0000 0.9552 0.0442 1
Tl1 Tl 0.5000 0.7500 0.7500 1
# Density, g/cm3: 14.7
# Volume, Å³ per atom: 14.435
# Crystal system: orthorhombic
# Fermi-level density of states, states/eV/cell: 4.39

---

<b>
# TlCo2Os (GGA-PBE, optimized geometry)
data_TlCo2Os
_space_group_name_H-M_alt 'P 1'
_space_group_IT_number 1
_cell_length_a 4.8676
_cell_length_b 4.8676
_cell_length_c 4.8676
_cell_angle_alpha 134.15
_cell_angle_beta 134.15
_cell_angle_gamma 66.86
loop_
_space_group_symop_operation_xyz
'x,y,z'
loop_
_atom_site_label
_atom_site_type_symbol
_atom_site_fract_x
_atom_site_fract_y
_atom_site_fract_z
_atom_site_occupancy
Co1 Co 0.2500 0.7500 0.5000 1
Os1 Os 0.5000 0.5000 0.0000 1
Tl1 Tl 0.7500 0.2500 0.5000 1
Co2 Co 0.0000 0.0000 0.0000 1
# Density, g/cm3: 14.6
# Volume, Å³ per atom: 14.606
# Crystal system: tetragonal
# Fermi-level density of states, states/eV/cell: 6.02

---

Which is most stable, and by how much? <a>, by 195 meV/atom.

---

<a>
# TlCo2Os (GGA-PBE, optimized geometry)
data_TlCo2Os
_space_group_name_H-M_alt 'P 1'
_space_group_IT_number 1
_cell_length_a 2.7883
_cell_length_b 2.7883
_cell_length_c 7.3933
_cell_angle_alpha 90.00
_cell_angle_beta 90.00
_cell_angle_gamma 89.98
loop_
_space_group_symop_operation_xyz
'x,y,z'
loop_
_atom_site_label
_atom_site_type_symbol
_atom_site_fract_x
_atom_site_fract_y
_atom_site_fract_z
_atom_site_occupancy
Os1 Os 0.5000 0.5000 0.2500 1
Co1 Co 0.0000 0.0000 0.0314 1
Co2 Co 0.0000 0.0000 0.4686 1
Tl1 Tl 0.5000 0.5000 0.7500 1
# Density, g/cm3: 14.8
# Volume, Å³ per atom: 14.370
# Crystal system: tetragonal
# Fermi-level density of states, states/eV/cell: 3.65

---

<b>
# TlCo2Os (GGA-PBE, optimized geometry)
data_TlCo2Os
_space_group_name_H-M_alt 'P 1'
_space_group_IT_number 1
_cell_length_a 4.4752
_cell_length_b 4.4752
_cell_length_c 5.0825
_cell_angle_alpha 80.51
_cell_angle_beta 80.51
_cell_angle_gamma 37.39
loop_
_space_group_symop_operation_xyz
'x,y,z'
loop_
_atom_site_label
_atom_site_type_symbol
_atom_site_fract_x
_atom_site_fract_y
_atom_site_fract_z
_atom_site_occupancy
Os1 Os 0.7500 0.7500 0.7500 1
Co1 Co 0.4896 0.4896 0.5591 1
Tl1 Tl 0.2500 0.2500 0.2500 1
Co2 Co 0.0104 0.0104 0.9409 1
# Density, g/cm3: 14.0
# Volume, Å³ per atom: 15.217
# Crystal system: monoclinic
# Fermi-level density of states, states/eV/cell: 4.44

---

<c>
# TlCo2Os (GGA-PBE, optimized geometry)
data_TlCo2Os
_space_group_name_H-M_alt 'P 1'
_space_group_IT_number 1
_cell_length_a 2.7977
_cell_length_b 2.7977
_cell_length_c 8.8299
_cell_angle_alpha 90.00
_cell_angle_beta 90.00
_cell_angle_gamma 116.10
loop_
_space_group_symop_operation_xyz
'x,y,z'
loop_
_atom_site_label
_atom_site_type_symbol
_atom_site_fract_x
_atom_site_fract_y
_atom_site_fract_z
_atom_site_occupancy
Co1 Co 0.5000 0.5000 0.2391 1
Os1 Os 0.0000 0.0000 0.4673 1
Co2 Co 0.0000 0.0000 0.0332 1
Tl1 Tl 0.5000 0.5000 0.7604 1
# Density, g/cm3: 13.7
# Volume, Å³ per atom: 15.517
# Crystal system: orthorhombic
# Fermi-level density of states, states/eV/cell: 6.08

---

<d>
# TlCo2Os (GGA-PBE, optimized geometry)
data_TlCo2Os
_space_group_name_H-M_alt 'P 1'
_space_group_IT_number 1
_cell_length_a 5.1043
_cell_length_b 5.1043
_cell_length_c 5.1043
_cell_angle_alpha 144.78
_cell_angle_beta 127.10
_cell_angle_gamma 65.16
loop_
_space_group_symop_operation_xyz
'x,y,z'
loop_
_atom_site_label
_atom_site_type_symbol
_atom_site_fract_x
_atom_site_fract_y
_atom_site_fract_z
_atom_site_occupancy
Co1 Co 0.5144 0.5144 0.0000 1
Co2 Co 0.9856 0.9856 0.0000 1
Tl1 Tl 0.2500 0.7500 0.5000 1
Os1 Os 0.7500 0.2500 0.5000 1
# Density, g/cm3: 14.1
# Volume, Å³ per atom: 15.103
# Crystal system: orthorhombic
# Fermi-level density of states, states/eV/cell: 5.26

---

Which is most stable, and by how much? <a>, by 190 meV/atom.

---

<a>
# TlCoOs (GGA-PBE, optimized geometry)
data_TlCoOs
_space_group_name_H-M_alt 'P 1'
_space_group_IT_number 1
_cell_length_a 4.1956
_cell_length_b 4.1956
_cell_length_c 4.1956
_cell_angle_alpha 60.00
_cell_angle_beta 60.00
_cell_angle_gamma 60.00
loop_
_space_group_symop_operation_xyz
'x,y,z'
loop_
_atom_site_label
_atom_site_type_symbol
_atom_site_fract_x
_atom_site_fract_y
_atom_site_fract_z
_atom_site_occupancy
Co1 Co 0.7500 0.7500 0.7500 1
Os1 Os 0.0000 0.0000 0.0000 1
Tl1 Tl 0.5000 0.5000 0.5000 1
# Density, g/cm3: 14.4
# Volume, Å³ per atom: 17.408
# Crystal system: cubic
# Fermi-level density of states, states/eV/cell: 2.81

---

<b>
# TlCoOs (GGA-PBE, optimized geometry)
data_TlCoOs
_space_group_name_H-M_alt 'P 1'
_space_group_IT_number 1
_cell_length_a 6.1366
_cell_length_b 6.1367
_cell_length_c 2.8662
_cell_angle_alpha 76.49
_cell_angle_beta 76.50
_cell_angle_gamma 27.01
loop_
_space_group_symop_operation_xyz
'x,y,z'
loop_
_atom_site_label
_atom_site_type_symbol
_atom_site_fract_x
_atom_site_fract_y
_atom_site_fract_z
_atom_site_occupancy
Co1 Co 0.9813 0.9813 0.0187 1
Os1 Os 0.3573 0.3573 0.6427 1
Tl1 Tl 0.6614 0.6614 0.3386 1
# Density, g/cm3: 15.8
# Volume, Å³ per atom: 15.862
# Crystal system: tetragonal
# Fermi-level density of states, states/eV/cell: 1.50

---

Which is most stable, and by how much? <b>, by 245 meV/atom.

---

<a>
# TlCoOs (GGA-PBE, optimized geometry)
data_TlCoOs
_space_group_name_H-M_alt 'P 1'
_space_group_IT_number 1
_cell_length_a 2.8928
_cell_length_b 2.8928
_cell_length_c 6.6425
_cell_angle_alpha 90.00
_cell_angle_beta 90.00
_cell_angle_gamma 120.00
loop_
_space_group_symop_operation_xyz
'x,y,z'
loop_
_atom_site_label
_atom_site_type_symbol
_atom_site_fract_x
_atom_site_fract_y
_atom_site_fract_z
_atom_site_occupancy
Os1 Os 0.3333 0.6667 0.2974 1
Co1 Co 0.0000 0.0000 0.0226 1
Tl1 Tl 0.6667 0.3333 0.6799 1
# Density, g/cm3: 15.6
# Volume, Å³ per atom: 16.046
# Crystal system: trigonal
# Fermi-level density of states, states/eV/cell: 2.53

---

<b>
# TlCoOs (GGA-PBE, optimized geometry)
data_TlCoOs
_space_group_name_H-M_alt 'P 1'
_space_group_IT_number 1
_cell_length_a 4.2344
_cell_length_b 4.2344
_cell_length_c 3.2078
_cell_angle_alpha 90.00
_cell_angle_beta 90.00
_cell_angle_gamma 120.00
loop_
_space_group_symop_operation_xyz
'x,y,z'
loop_
_atom_site_label
_atom_site_type_symbol
_atom_site_fract_x
_atom_site_fract_y
_atom_site_fract_z
_atom_site_occupancy
Co1 Co 0.0000 0.0000 0.1670 1
Os1 Os 0.6667 0.3333 0.1664 1
Tl1 Tl 0.3333 0.6667 0.6665 1
# Density, g/cm3: 15.1
# Volume, Å³ per atom: 16.604
# Crystal system: hexagonal
# Fermi-level density of states, states/eV/cell: 3.54

---

Which is most stable, and by how much? <a>, by 112 meV/atom.

---

<a>
# Tl2Co2Os (GGA-PBE, optimized geometry)
data_Tl2Co2Os
_space_group_name_H-M_alt 'P 1'
_space_group_IT_number 1
_cell_length_a 7.4291
_cell_length_b 7.4291
_cell_length_c 3.0319
_cell_angle_alpha 90.00
_cell_angle_beta 90.00
_cell_angle_gamma 90.00
loop_
_space_group_symop_operation_xyz
'x,y,z'
loop_
_atom_site_label
_atom_site_type_symbol
_atom_site_fract_x
_atom_site_fract_y
_atom_site_fract_z
_atom_site_occupancy
Tl1 Tl 0.3493 0.8493 0.0000 1
Tl2 Tl 0.1507 0.3493 0.0000 1
Co1 Co 0.1494 0.6494 0.5000 1
Os1 Os 0.5000 0.5000 0.0000 1
Co2 Co 0.8506 0.3506 0.5000 1
Tl3 Tl 0.8493 0.6507 0.0000 1
Co3 Co 0.6494 0.8506 0.5000 1
Os2 Os 0.0000 0.0000 0.0000 1
Co4 Co 0.3506 0.1494 0.5000 1
Tl4 Tl 0.6507 0.1507 0.0000 1
# Density, g/cm3: 14.2
# Volume, Å³ per atom: 16.733
# Crystal system: tetragonal
# Fermi-level density of states, states/eV/cell: 16.12

---

<b>
# Tl2Co2Os (GGA-PBE, optimized geometry)
data_Tl2Co2Os
_space_group_name_H-M_alt 'P 1'
_space_group_IT_number 1
_cell_length_a 3.2582
_cell_length_b 3.2582
_cell_length_c 8.5554
_cell_angle_alpha 79.02
_cell_angle_beta 79.02
_cell_angle_gamma 90.00
loop_
_space_group_symop_operation_xyz
'x,y,z'
loop_
_atom_site_label
_atom_site_type_symbol
_atom_site_fract_x
_atom_site_fract_y
_atom_site_fract_z
_atom_site_occupancy
Tl1 Tl 0.3921 0.3921 0.2158 1
Tl2 Tl 0.6079 0.6079 0.7842 1
Co1 Co 0.7500 0.2500 0.5000 1
Co2 Co 0.2500 0.7500 0.5000 1
Os1 Os 0.0000 0.0000 0.0000 1
# Density, g/cm3: 13.6
# Volume, Å³ per atom: 17.494
# Crystal system: tetragonal
# Fermi-level density of states, states/eV/cell: 5.63

---

Which is most stable, and by how much? <b>, by 174 meV/atom.